CsAsPd2 | PBE | relaxed

Properties
Fermi-level density of states   0.728 states/eV/f.u.
Energy of formation   -161 meV per atom

POSCAR file:
```
CsAsPd2
1.0
-4.9982 -0.6433 2.3638
4.3617 -5.6663 7.6809
1.7660 10.1909 6.5151
Cs Pd As
4 8 4
Direct
0.7583 0.7501 0.7499 Cs
0.2583 0.7499 0.2499 Cs
0.7417 0.2501 0.7501 Cs
0.2417 0.2499 0.2501 Cs
0.9981 0.1409 0.5010 Pd
0.9981 0.3591 0.9993 Pd
0.4981 0.1409 0.4993 Pd
0.4981 0.3591 0.0010 Pd
0.5019 0.6409 0.9990 Pd
0.0019 0.8591 0.4990 Pd
0.0019 0.6409 0.0007 Pd
0.5019 0.8591 0.5007 Pd
0.7499 0.5001 0.1091 As
0.2501 0.4999 0.8909 As
0.7501 0.0001 0.3909 As
0.2499 0.9999 0.6091 As
```


Nd6Sm3Pu | PBE | relaxed

Properties
Fermi-level density of states   17.428 states/eV/f.u.
Energy of formation   217 meV per atom

POSCAR file:
```
Nd6Sm3Pu
1.0
6.2813 0.0000 0.1954
0.0000 9.4284 0.0000
-0.1881 0.0000 11.6143
Nd Sm Pu
12 6 2
Direct
0.5090 0.1657 0.4323 Nd
0.9820 0.6589 0.4339 Nd
0.9910 0.6657 0.0677 Nd
0.6503 0.5183 0.7427 Nd
0.4910 0.8343 0.5677 Nd
0.1503 0.9817 0.2427 Nd
0.0180 0.3411 0.5661 Nd
0.0090 0.3343 0.9323 Nd
0.4820 0.8411 0.9339 Nd
0.3497 0.4817 0.2573 Nd
0.8497 0.0183 0.7573 Nd
0.5180 0.1589 0.0661 Nd
0.5000 0.5000 0.0000 Sm
0.8702 0.3345 0.2496 Sm
0.3702 0.1655 0.7496 Sm
0.1298 0.6655 0.7504 Sm
0.6298 0.8345 0.2504 Sm
0.0000 0.0000 0.5000 Sm
0.0000 0.0000 0.0000 Pu
0.5000 0.5000 0.5000 Pu
```


Cd2AsHBr | PBE | relaxed

Properties
Fermi-level density of states   2.069 states/eV/f.u.
Electronic total energy   -2.37 eV per atom

POSCAR file:
```
Cd2AsHBr
1.0
-3.1772 4.0594 -1.5627
-3.8641 -1.7453 3.3224
1.4074 2.1707 2.7772
Cd As Br H
2 1 1 1
Direct
0.0000 0.5000 0.0000 Cd
0.5000 0.0000 0.0000 Cd
0.0000 0.0000 0.0000 As
0.5000 0.5000 0.5000 Br
0.0000 0.0000 0.5000 H
```


LiMgZn | PBE | relaxed

Properties
Fermi-level density of states   1.267 states/eV/f.u.
E above lowest polymorph   7 meV per atom
Energy of formation   -123 meV per atom

POSCAR file:
```
LiMgZn
1.0
-0.7506 3.2816 4.1013
-4.4406 2.5926 1.3088
1.9301 -4.7460 -1.3794
Zn Li Mg
1 1 1
Direct
0.6545 0.6545 0.0000 Zn
0.0152 0.0152 0.0000 Li
0.3303 0.3303 0.0000 Mg
```